[1]
Be2NiP | PBE | relaxed

Values from the calculation:
Raw total energy (Ha/atom): -0.1668
Energy of formation (eV/atom): 0.1216
Size of the total moment (μB per cell): 0.00

Cell: 3.861 3.861 3.861 Å, 60.00 60.00 60.00°
Atoms (fractional coordinates):
Be  0.000  0.000  0.000
Be  0.250  0.250  0.250
Ni  0.500  0.500  0.500
P  0.750  0.750  0.750

=====

[2]
Be2NiP | PBE | relaxed

Values from the calculation:
Raw total energy (Ha/atom): -0.1677
Energy of formation (eV/atom): 0.0983
Size of the total moment (μB per cell): 0.00

Cell: 7.161 7.161 7.161 Å, 21.00 21.00 21.00°
Atoms (fractional coordinates):
Be  0.248  0.248  0.248
Be  0.752  0.752  0.752
Ni  0.500  0.500  0.500
P  0.000  0.000  0.000

=====

[3]
BeNiP2 | PBE | relaxed

Values from the calculation:
Raw total energy (Ha/atom): -0.1772
Energy of formation (eV/atom): 0.2594
Size of the total moment (μB per cell): 0.00

Cell: 4.281 4.281 4.281 Å, 128.12 128.12 76.43°
Atoms (fractional coordinates):
Be  0.000  0.000  0.000
Ni  0.500  0.500  0.000
P  0.250  0.750  0.500
P  0.750  0.250  0.500

=====

[4]
BeNiP2 | PBE | relaxed

Values from the calculation:
Raw total energy (Ha/atom): -0.1712
Energy of formation (eV/atom): 0.4224
Size of the total moment (μB per cell): 0.00

Cell: 4.070 4.070 4.070 Å, 60.00 60.00 60.00°
Atoms (fractional coordinates):
Be  0.000  0.000  0.000
Ni  0.750  0.750  0.750
P  0.250  0.250  0.250
P  0.500  0.500  0.500

=====

[5]
Be2NiP | PBE | relaxed

Values from the calculation:
Raw total energy (Ha/atom): -0.1748
Energy of formation (eV/atom): -0.0944
Size of the total moment (μB per cell): 0.00

Cell: 3.951 3.951 3.976 Å, 97.15 97.15 40.28°
Atoms (fractional coordinates):
Be  0.000  0.000  0.000
Be  0.249  0.249  0.773
Ni  0.500  0.500  0.521
P  0.756  0.756  0.265

=====

[6]
BeNiP4 | PBE | relaxed

Values from the calculation:
Raw total energy (Ha/atom): -0.1612
Energy of formation (eV/atom): 0.8037
Size of the total moment (μB per cell): 0.00

Cell: 4.882 4.882 4.882 Å, 60.00 60.00 60.00°
Atoms (fractional coordinates):
Be  0.000  0.000  0.000
Ni  0.750  0.750  0.750
P  0.375  0.375  0.375
P  0.375  0.375  0.875
P  0.375  0.875  0.375
P  0.875  0.375  0.375

=====

[7]
BeNiP2 | PBE | relaxed

Values from the calculation:
Raw total energy (Ha/atom): -0.1870
Energy of formation (eV/atom): -0.0067
Size of the total moment (μB per cell): 0.00

Cell: 5.978 5.978 5.978 Å, 129.38 129.38 74.40°
Atoms (fractional coordinates):
Be  0.000  0.000  0.000
Be  0.750  0.250  0.500
Ni  0.250  0.750  0.500
Ni  0.500  0.500  0.000
P  0.120  0.625  0.995
P  0.375  0.370  0.495
P  0.630  0.125  0.005
P  0.875  0.880  0.505

=====

[8]
Be4NiP | PBE | relaxed

Values from the calculation:
Raw total energy (Ha/atom): -0.1585
Energy of formation (eV/atom): 0.0372
Size of the total moment (μB per cell): 0.00

Cell: 4.268 4.268 4.268 Å, 60.00 60.00 60.00°
Atoms (fractional coordinates):
Be  0.124  0.124  0.124
Be  0.124  0.124  0.628
Be  0.124  0.628  0.124
Be  0.628  0.124  0.124
Ni  0.750  0.750  0.750
P  0.500  0.500  0.500

=====

[9]
Be2NiP | PBE | relaxed

Values from the calculation:
Raw total energy (Ha/atom): -0.1676
Energy of formation (eV/atom): 0.0999
Size of the total moment (μB per cell): 0.00

Cell: 2.514 2.514 6.870 Å, 90.00 90.00 90.00°
Atoms (fractional coordinates):
Be  0.000  0.000  0.000
Be  0.500  0.500  0.192
Ni  0.000  0.000  0.416
P  0.500  0.500  0.646

=====

[10]
Be2NiP | PBE | relaxed

Values from the calculation:
Raw total energy (Ha/atom): -0.1689
Energy of formation (eV/atom): 0.0638
Size of the total moment (μB per cell): 0.00

Cell: 7.868 7.868 7.868 Å, 155.02 155.02 35.62°
Atoms (fractional coordinates):
Be  0.116  0.625  0.991
Be  0.375  0.366  0.491
Be  0.634  0.125  0.009
Be  0.875  0.884  0.509
Ni  0.000  0.000  0.000
Ni  0.750  0.250  0.500
P  0.250  0.750  0.500
P  0.500  0.500  0.000

=====

[11]
Be2Ni2P | PBE | relaxed

Values from the calculation:
Raw total energy (Ha/atom): -0.1861
Energy of formation (eV/atom): -0.1780
Size of the total moment (μB per cell): 0.00

Cell: 5.545 5.545 3.217 Å, 90.00 90.00 90.00°
Atoms (fractional coordinates):
Be  0.131  0.369  0.000
Be  0.369  0.869  0.000
Be  0.631  0.131  0.000
Be  0.869  0.631  0.000
Ni  0.162  0.662  0.500
Ni  0.338  0.162  0.500
Ni  0.662  0.838  0.500
Ni  0.838  0.338  0.500
P  0.000  0.000  0.000
P  0.500  0.500  0.000

=====

[12]
BeNiP2 | PBE | relaxed

Values from the calculation:
Raw total energy (Ha/atom): -0.1820
Energy of formation (eV/atom): 0.1286
Size of the total moment (μB per cell): 0.00

Cell: 3.973 3.973 3.280 Å, 98.86 98.86 105.92°
Atoms (fractional coordinates):
Be  0.000  0.000  0.000
Ni  0.500  0.500  0.000
P  0.000  0.500  0.500
P  0.500  0.000  0.500

=====

[13]
BeNiP2 | PBE | relaxed

Values from the calculation:
Raw total energy (Ha/atom): -0.1810
Energy of formation (eV/atom): 0.1561
Size of the total moment (μB per cell): 0.00

Cell: 3.982 3.982 3.136 Å, 90.00 90.00 107.46°
Atoms (fractional coordinates):
Be  0.000  0.000  0.000
Ni  0.500  0.500  0.000
P  0.000  0.500  0.500
P  0.500  0.000  0.500

=====

[14]
Be2NiP | PBE | relaxed

Values from the calculation:
Raw total energy (Ha/atom): -0.1784
Energy of formation (eV/atom): -0.1931
Size of the total moment (μB per cell): 0.00

Cell: 2.853 3.085 4.482 Å, 90.00 90.00 90.00°
Atoms (fractional coordinates):
Be  0.000  0.000  0.249
Be  0.000  0.000  0.751
Ni  0.500  0.500  0.500
P  0.500  0.500  0.000

=====

[15]
PmBeNiP2 | PBE | relaxed

Values from the calculation:
Raw total energy (Ha/atom): -0.2152
Energy of formation (eV/atom): -0.8414
Size of the total moment (μB per cell): 0.00

Cell: 6.109 6.109 6.109 Å, 144.59 144.59 50.94°
Atoms (fractional coordinates):
Pm  0.000  0.000  0.000
Be  0.250  0.750  0.500
Ni  0.750  0.250  0.500
P  0.366  0.366  0.000
P  0.634  0.634  0.000